GaSnHgGe: optimized geometry, PBE.

Values from the calculation:
* uncorrected energy: -2.8329 eV/atom
* formation energy: 154 meV/atom
* total magnetic moment: 0.0 μB/cell

a = 7.169 Å, b = 7.169 Å, c = 7.169 Å
α = 90.00°, β = 90.00°, γ = 90.00°
Space group F-43m (No. 216)
Inequivalent atoms, fractional coordinates:
1 Ga 0.000 0.000 0.000 x4
2 Sn 0.000 0.000 0.500 x4
3 Hg 0.250 0.250 0.750 x4
4 Ge 0.250 0.250 0.250 x4